(1)
Pr4Bi2TeSe | GGA-PBE | relaxed

Lattice parameters (Å, degrees): 7.8099 4.5386 7.8650 90.00 109.63 90.00
Space group P2/m (No. 10)
Unique sites:
Pr1 0.2376 0.0000 0.2372
Pr2 0.2437 0.5000 0.7566
Bi1 0.5000 0.0000 0.0000
Bi2 0.5000 0.5000 0.5000
Te1 0.0000 0.0000 0.5000
Se1 0.0000 0.5000 0.0000

The raw total energy comes out at -5.479 eV/atom. The uncorrected formation energy is -1.291 eV/atom.

(2)
Pr6Bi2Te3Se | GGA-PBE | relaxed

Lattice parameters (Å, degrees): 19.8317 4.5170 9.0768 90.00 103.52 90.00
Space group C2/m (No. 12)
Unique sites:
Pr1 0.0019 0.0000 0.2753
Pr2 0.1545 0.5000 0.5768
Pr3 0.1656 0.5000 0.0832
Bi1 0.1661 0.0000 0.8333
Te1 0.0000 0.5000 0.0000
Te2 0.1714 0.0000 0.3366
Se1 0.0000 0.5000 0.5000

The raw total energy comes out at -5.467 eV/atom. The uncorrected formation energy is -1.354 eV/atom.

(3)
Pr6Bi3TeSe2 | GGA-PBE | relaxed

Lattice parameters (Å, degrees): 7.8356 13.5154 7.7703 90.00 109.59 90.00
Space group C2/m (No. 12)
Unique sites:
Pr1 0.2321 0.0000 0.2330
Pr2 0.2477 0.1725 0.7604
Bi1 0.0000 0.0000 0.5000
Bi2 0.0000 0.3387 0.5000
Te1 0.0000 0.5000 0.0000
Se1 0.0000 0.1680 0.0000

The raw total energy comes out at -5.525 eV/atom. The uncorrected formation energy is -1.322 eV/atom.

(4)
Pr3Tl4BiSe8 | GGA-PBE | relaxed

Lattice parameters (Å, degrees): 8.6985 8.6985 23.1950 90.00 90.00 120.00
Space group R-3m (No. 166, hexagonal axes)
Unique sites:
Pr1 0.0000 0.5000 0.0000
Tl1 0.0000 0.0000 0.5000
Tl2 0.0000 0.5000 0.5000
Bi1 0.0000 0.0000 0.0000
Se1 0.0000 0.0000 0.2624
Se2 0.0015 0.5007 0.7376

The raw total energy comes out at -4.613 eV/atom. The uncorrected formation energy is -1.140 eV/atom.

(5)
PrTl2BiSe4 | GGA-PBE | relaxed

Lattice parameters (Å, degrees): 7.5170 4.3353 8.1049 90.00 108.07 90.00
Space group P2/m (No. 10)
Unique sites:
Pr1 0.0000 0.0000 0.0000
Tl1 0.0000 0.5000 0.5000
Tl2 0.5000 0.0000 0.5000
Bi1 0.5000 0.5000 0.0000
Se1 0.2392 0.5000 0.2134
Se2 0.2633 0.0000 0.7860

The raw total energy comes out at -4.325 eV/atom. The uncorrected formation energy is -0.908 eV/atom.

(6)
PrTl3Bi2Se6 | GGA-PBE | relaxed

Lattice parameters (Å, degrees): 7.5011 12.9875 8.0785 90.00 108.04 90.00
Space group C2/m (No. 12)
Unique sites:
Pr1 0.0000 0.0000 0.0000
Tl1 0.0000 0.1655 0.5000
Tl2 0.0000 0.5000 0.5000
Bi1 0.0000 0.3336 0.0000
Se1 0.2346 0.5000 0.2127
Se2 0.2400 0.1681 0.2151

The raw total energy comes out at -4.136 eV/atom. The uncorrected formation energy is -0.757 eV/atom.

(7)
Pr2Tl3BiSe6 | GGA-PBE | relaxed

Lattice parameters (Å, degrees): 7.5242 13.0368 8.1175 90.00 108.02 90.00
Space group C2/m (No. 12)
Unique sites:
Pr1 0.0000 0.1666 0.0000
Tl1 0.0000 0.0000 0.5000
Tl2 0.0000 0.3316 0.5000
Bi1 0.0000 0.5000 0.0000
Se1 0.2365 0.3343 0.2124
Se2 0.2402 0.0000 0.2148

The raw total energy comes out at -4.517 eV/atom. The uncorrected formation energy is -1.063 eV/atom.

(8)
Pr3Tl3BiSe8 | GGA-PBE | relaxed

Lattice parameters (Å, degrees): 8.6794 8.6794 22.6890 90.00 90.00 120.00
Space group R-3m (No. 166, hexagonal axes)
Unique sites:
Pr1 0.0000 0.5000 0.0000
Tl1 0.0000 0.5000 0.5000
Bi1 0.0000 0.0000 0.0000
Se1 0.0000 0.0000 0.2607
Se2 0.0020 0.5010 0.7381

The raw total energy comes out at -4.667 eV/atom. The uncorrected formation energy is -1.121 eV/atom.

(9)
PrYBiSe | GGA-PBE | relaxed

Lattice parameters (Å, degrees): 4.2589 4.2589 23.0360 90.00 90.00 120.00
Space group R3m (No. 160, hexagonal axes)
Unique sites:
Pr1 0.0000 0.0000 0.0000
Y1 0.0000 0.0000 0.1631
Bi1 0.0000 0.0000 0.5770
Se1 0.0000 0.0000 0.7537

The raw total energy comes out at -5.907 eV/atom. The uncorrected formation energy is -1.254 eV/atom.

(10)
Pr12Si6Bi | GGA-PBE | relaxed

Lattice parameters (Å, degrees): 10.3769 10.3769 10.3769 90.00 90.00 90.00
Space group Im-3 (No. 204)
Unique sites:
Pr1 0.0000 0.2978 0.1898
Si1 0.0000 0.1128 0.5000
Bi1 0.0000 0.0000 0.0000

The raw total energy comes out at -5.486 eV/atom. The uncorrected formation energy is -0.550 eV/atom.

(11)
Pr5Si2Bi2 | GGA-PBE | relaxed

Lattice parameters (Å, degrees): 15.9866 8.2256 8.2606 90.00 90.00 90.00
Space group Cmce (No. 64)
Unique sites:
Pr1 0.0000 0.0000 0.0000
Pr2 0.1259 0.1741 0.3263
Si1 0.0000 0.1165 0.6162
Bi1 0.2092 0.0000 0.0000

The raw total energy comes out at -5.501 eV/atom. The uncorrected formation energy is -0.778 eV/atom.

(12)
Pr6Si2Bi | GGA-PBE | relaxed

Lattice parameters (Å, degrees): 9.8071 10.0910 10.9227 90.00 90.00 90.00
Space group Immm (No. 71)
Unique sites:
Pr1 0.0000 0.2119 0.2415
Pr2 0.2045 0.5000 0.1816
Pr3 0.2207 0.3077 0.5000
Si1 0.0000 0.3784 0.0000
Si2 0.0000 0.5000 0.3900
Bi1 0.0000 0.0000 0.0000
Bi2 0.0000 0.0000 0.5000

The raw total energy comes out at -5.375 eV/atom. The uncorrected formation energy is -0.553 eV/atom.

(13)
Pr5Si2Bi | GGA-PBE | relaxed

Lattice parameters (Å, degrees): 8.0200 8.0200 14.7072 90.00 90.00 90.00
Space group I4/mcm (No. 140)
Unique sites:
Pr1 0.0000 0.0000 0.0000
Pr2 0.1702 0.3298 0.1370
Si1 0.1214 0.3786 0.5000
Bi1 0.0000 0.0000 0.2500

The raw total energy comes out at -5.476 eV/atom. The uncorrected formation energy is -0.647 eV/atom.

(14)
PrSiBi | GGA-PBE | relaxed

Lattice parameters (Å, degrees): 4.2646 18.0506 4.1523 90.00 90.00 90.00
Space group Cmcm (No. 63)
Unique sites:
Pr1 0.0000 0.0934 0.2500
Si1 0.0000 0.4653 0.2500
Bi1 0.0000 0.3088 0.2500

The raw total energy comes out at -5.304 eV/atom. The uncorrected formation energy is -0.610 eV/atom.

(15)
Pr5SiBi4 | GGA-PBE | relaxed

Lattice parameters (Å, degrees): 10.2197 10.2197 6.4794 90.00 90.00 90.00
Space group I4/m (No. 87)
Unique sites:
Pr1 0.0000 0.0000 0.0000
Pr2 0.0973 0.7150 0.5000
Si1 0.0000 0.0000 0.5000
Bi1 0.0941 0.6968 0.0000

The raw total energy comes out at -5.324 eV/atom. The uncorrected formation energy is -0.839 eV/atom.

(16)
Pr6Si2BiTe3 | GGA-PBE | relaxed

Lattice parameters (Å, degrees): 19.6238 4.4589 9.0707 90.00 103.70 90.00
Space group C2/m (No. 12)
Unique sites:
Pr1 0.0110 0.0000 0.2557
Pr2 0.1695 0.5000 0.1089
Pr3 0.1731 0.5000 0.5694
Si1 0.1683 0.0000 0.3360
Bi1 0.0000 0.5000 0.0000
Te1 0.0000 0.5000 0.5000
Te2 0.1628 0.0000 0.8338

The raw total energy comes out at -5.563 eV/atom. The uncorrected formation energy is -1.161 eV/atom.

(17)
Pr5Sm5Bi6 | GGA-PBE | relaxed

Lattice parameters (Å, degrees): 6.5776 16.5157 9.4860 90.00 90.00 90.00
Space group Amm2 (No. 38)
Unique sites:
Pr1 0.0000 0.0000 0.0000
Pr2 0.2500 0.1661 0.7447
Sm1 0.0000 0.1239 0.3678
Sm2 0.5000 0.0000 0.4881
Sm3 0.5000 0.1241 0.1208
Bi1 0.0000 0.0000 0.6267
Bi2 0.0000 0.1939 0.0527
Bi3 0.5000 0.0000 0.8600
Bi4 0.5000 0.1922 0.4365

The raw total energy comes out at -5.187 eV/atom. The energy of formation is -763 meV per atom.

(18)
Pr4SmBi5 | GGA-PBE | relaxed

Lattice parameters (Å, degrees): 4.6265 4.6265 32.6832 90.00 90.00 90.00
Space group I4/mmm (No. 139)
Unique sites:
Pr1 0.0000 0.0000 0.0997
Pr2 0.0000 0.0000 0.3004
Sm1 0.0000 0.0000 0.5000
Bi1 0.0000 0.0000 0.0000
Bi2 0.0000 0.0000 0.2000
Bi3 0.0000 0.0000 0.4010

The raw total energy comes out at -5.278 eV/atom. The energy of formation is -953 meV per atom.

(19)
PrSm3Bi | GGA-PBE | relaxed

Lattice parameters (Å, degrees): 11.1492 4.0723 14.9823 90.00 90.00 90.00
Space group Pnma (No. 62)
Unique sites:
Pr1 0.1609 0.2500 0.0013
Sm1 0.0645 0.2500 0.5867
Sm2 0.0696 0.7500 0.7931
Sm3 0.1832 0.7500 0.2092
Bi1 0.1581 0.2500 0.3790

The raw total energy comes out at -4.831 eV/atom. The energy of formation is -267 meV per atom.

(20)
Pr3SmBi4 | GGA-PBE | relaxed

Lattice parameters (Å, degrees): 9.2401 13.0687 4.6239 90.00 90.00 90.00
Space group Cmmm (No. 65)
Unique sites:
Pr1 0.0000 0.0000 0.0000
Pr2 0.2500 0.2500 0.5000
Sm1 0.0000 0.5000 0.0000
Bi1 0.0000 0.2518 0.0000
Bi2 0.2465 0.5000 0.5000

The raw total energy comes out at -5.273 eV/atom. The energy of formation is -951 meV per atom.